Material: Na6V2B4PO16
Method: DFT, GGA-PBEsol
State: relaxed

Geometry as POSCAR:
```
Na6V2B4PO16
1.0
9.784 0.000 0.000
4.892 8.473 0.000
4.892 2.824 7.988
Na O V P B
12 32 4 2 8
Cartesian
9.784 2.354 1.664 Na
6.930 7.296 1.664 Na
6.930 4.001 6.324 Na
12.637 4.001 6.324 Na
4.892 0.471 0.333 Na
6.930 1.647 3.661 Na
4.892 5.178 3.661 Na
2.853 4.001 0.333 Na
9.784 8.943 6.324 Na
6.930 4.001 0.333 Na
12.637 7.296 1.664 Na
2.853 1.647 3.661 Na
7.339 5.786 3.596 O
3.620 2.090 1.478 O
10.887 3.463 3.596 O
15.778 9.577 7.919 O
17.120 8.335 6.390 O
15.080 6.965 7.919 O
10.188 4.333 6.058 O
1.271 0.734 0.519 O
13.167 8.876 7.919 O
12.231 8.803 5.729 O
13.572 10.659 6.390 O
13.334 6.425 6.390 O
4.892 2.824 6.431 O
4.892 7.005 0.519 O
13.739 7.465 3.927 O
15.612 6.191 5.729 O
14.270 9.788 3.927 O
16.183 10.425 5.729 O
8.442 5.955 6.058 O
10.720 6.657 6.058 O
4.892 4.292 1.478 O
16.017 8.166 3.927 O
8.847 7.931 4.257 O
6.163 2.090 1.478 O
8.276 3.696 4.257 O
4.892 2.824 3.554 O
8.512 0.734 0.519 O
11.292 5.245 2.066 O
8.680 4.544 2.066 O
9.379 7.156 2.066 O
11.125 7.697 3.596 O
12.228 5.319 4.257 O
9.784 2.824 4.993 V
9.784 5.649 0.999 V
7.338 7.061 4.993 V
12.229 7.061 4.993 V
4.892 2.824 1.997 P
0.000 0.000 0.000 P
16.349 9.439 6.674 B
9.784 7.581 3.311 B
9.784 5.649 6.044 B
8.110 4.682 3.311 B
13.002 9.439 6.674 B
11.457 4.682 3.311 B
14.675 6.541 6.674 B
14.675 8.473 3.942 B
```

Computed properties:
N(E_F) ... 9.0 states/eV per cell
ΔE_f (raw) ... -2.2372 eV/atom

---

Material: P2AuBr
Method: DFT, GGA-PBEsol
State: relaxed

Geometry as POSCAR:
```
P2AuBr
1.0
2.886 0.000 0.000
0.000 4.904 0.000
0.000 0.000 4.904
P Au Br
2 1 1
Cartesian
0.000 0.000 2.452 P
0.000 2.452 0.000 P
1.443 2.452 2.452 Au
1.443 0.000 0.000 Br
```

Computed properties:
N(E_F) ... 2.3 states/eV per cell
ΔE_f (raw) ... 0.7698 eV/atom

---

Material: SiGe2Bi
Method: DFT, GGA-PBEsol
State: relaxed

Geometry as POSCAR:
```
SiGe2Bi
1.0
4.898 0.000 0.000
2.449 4.242 0.000
2.449 1.414 3.999
Ge Si Bi
2 1 1
Cartesian
2.449 1.414 1.000 Ge
7.347 4.242 2.999 Ge
0.000 0.000 0.000 Si
4.898 2.828 2.000 Bi
```

Computed properties:
N(E_F) ... 1.8 states/eV per cell
ΔE_f (raw) ... 0.4345 eV/atom

---

Repeat the second record exactly.
Material: P2AuBr
Method: DFT, GGA-PBEsol
State: relaxed

Geometry as POSCAR:
```
P2AuBr
1.0
2.886 0.000 0.000
0.000 4.904 0.000
0.000 0.000 4.904
P Au Br
2 1 1
Cartesian
0.000 0.000 2.452 P
0.000 2.452 0.000 P
1.443 2.452 2.452 Au
1.443 0.000 0.000 Br
```

Computed properties:
N(E_F) ... 2.3 states/eV per cell
ΔE_f (raw) ... 0.7698 eV/atom

---

Which of these has the lowest N(E_F)?
SiGe2Bi

---

Among the records above, which one has the highest N(E_F)?
Na6V2B4PO16